Zn3As2 | Alexandria via LeMat-Bulk | GGA-PBE | relaxed; formation energy = -118.6 meV/atom; spin magnetization = 0.0 μB/f.u.; symmetry = Ia-3 (206)
1.0
-5.960 5.960 5.960
5.960 -5.960 5.960
5.960 5.960 -5.960
Zn As
24 16
Cartesian
7.240 1.665 -1.562
1.665 1.562 -1.280
1.562 -1.280 1.665
4.680 4.295 -1.562
4.295 1.562 1.280
7.522 1.280 1.665
7.522 -1.280 4.295
4.295 -1.562 4.680
-1.280 1.665 1.562
1.562 1.280 4.295
1.665 -1.562 7.240
1.280 4.295 1.562
4.680 1.665 4.398
4.295 7.522 -1.280
4.398 4.680 1.665
7.240 4.295 4.398
1.665 7.522 1.280
-1.562 7.240 1.665
-1.562 4.680 4.295
1.665 4.398 4.680
1.280 1.665 7.522
4.398 7.240 4.295
4.295 4.398 7.240
-1.280 4.295 7.522
2.980 2.980 -2.980
2.980 -2.980 2.980
8.940 0.101 0.000
5.960 -2.980 5.858
5.858 5.960 -2.980
5.858 0.000 2.980
5.960 2.980 0.101
2.980 5.858 0.000
-2.980 2.980 2.980
2.980 2.980 2.980
2.980 0.101 5.960
0.000 2.980 5.858
0.101 5.960 2.980
0.101 0.000 8.940
0.000 8.940 0.101
-2.980 5.858 5.960